(1)
{"formula": "Pr3Y5", "functional": "GGA-PBE", "state": "relaxed", "lattice": [[-1.078, 2.397, 2.575], [3.806, -2.293, 3.728], [8.893, 8.279, -3.986]], "species": ["Pr", "Pr", "Pr", "Y", "Y", "Y", "Y", "Y"], "fractional_positions": [[0.500, 0.000, 0.713], [0.500, 0.500, 0.539], [0.000, 0.500, 0.793], [0.000, 0.000, 0.963], [0.500, 0.000, 0.206], [0.000, 0.000, 0.452], [0.500, 0.500, 0.045], [0.000, 0.500, 0.289]], "mass_density_g_cm3": 5.28, "total_magnetization_mub_per_fu": 0.001, "e_form_ev_per_atom": 0.019, "final_energy_ev_per_atom": -5.813, "space_group": "Pmm2 (25)"}



(2)
{"formula": "PrY7", "functional": "GGA-PBE", "state": "relaxed", "lattice": [[3.387, 0.002, 1.079], [1.210, 8.526, 2.044], [-0.939, -0.214, 8.799]], "species": ["Pr", "Y", "Y", "Y", "Y", "Y", "Y", "Y"], "fractional_positions": [[0.000, 0.000, 0.000], [0.742, 0.757, 0.757], [0.258, 0.243, 0.243], [0.000, 0.500, 0.500], [0.633, 0.597, 0.137], [0.367, 0.403, 0.863], [0.367, 0.863, 0.403], [0.633, 0.137, 0.597]], "mass_density_g_cm3": 4.80, "total_magnetization_mub_per_fu": 0.000, "e_form_ev_per_atom": 0.026, "final_energy_ev_per_atom": -6.227, "polymorph_energy_mev_per_atom": 6, "space_group": "Immm (71)"}



(3)
{"formula": "Pr7Y3", "functional": "GGA-PBE", "state": "relaxed", "lattice": [[-2.037, 0.472, 4.764], [4.749, -4.975, 2.523], [3.483, 10.143, -2.358]], "species": ["Pr", "Pr", "Pr", "Pr", "Pr", "Pr", "Pr", "Y", "Y", "Y"], "fractional_positions": [[0.000, 0.500, 0.000], [0.200, 0.300, 0.400], [0.800, 0.700, 0.600], [0.399, 0.100, 0.798], [0.601, 0.900, 0.202], [0.400, 0.599, 0.801], [0.600, 0.401, 0.199], [0.000, 0.000, 0.000], [0.201, 0.802, 0.402], [0.799, 0.198, 0.598]], "mass_density_g_cm3": 5.95, "total_magnetization_mub_per_fu": 0.000, "e_form_ev_per_atom": 0.011, "final_energy_ev_per_atom": -5.274, "polymorph_energy_mev_per_atom": 0, "space_group": "C2/m (12)"}



(4)
{"formula": "Pr8Y", "functional": "GGA-PBE", "state": "relaxed", "lattice": [[5.239, 0.000, 0.000], [2.619, 7.852, 0.000], [2.619, 0.000, 7.852]], "species": ["Pr", "Pr", "Pr", "Pr", "Pr", "Pr", "Pr", "Pr", "Y"], "fractional_positions": [[0.334, 0.000, 0.332], [0.666, 0.000, 0.668], [0.667, 0.333, 0.333], [0.334, 0.332, 0.000], [0.000, 0.333, 0.667], [0.666, 0.668, 0.000], [0.333, 0.667, 0.667], [0.000, 0.667, 0.333], [0.000, 0.000, 0.000]], "mass_density_g_cm3": 6.25, "total_magnetization_mub_per_fu": 0.000, "e_form_ev_per_atom": 0.012, "final_energy_ev_per_atom": -4.955, "space_group": "I4/mmm (139)"}



(5)
{"formula": "Pr5Y3", "functional": "GGA-PBE", "state": "relaxed", "lattice": [[7.410, 0.000, 0.000], [0.000, 8.712, -0.365], [0.000, -0.370, 8.712]], "species": ["Pr", "Pr", "Pr", "Pr", "Pr", "Pr", "Pr", "Pr", "Pr", "Pr", "Y", "Y", "Y", "Y", "Y", "Y"], "fractional_positions": [[0.000, 0.044, 0.956], [0.000, 0.959, 0.544], [0.749, 0.210, 0.293], [0.251, 0.210, 0.293], [0.000, 0.456, 0.041], [0.500, 0.540, 0.460], [0.748, 0.792, 0.208], [0.252, 0.792, 0.208], [0.749, 0.707, 0.790], [0.251, 0.707, 0.790], [0.500, 0.043, 0.957], [0.500, 0.963, 0.547], [0.748, 0.292, 0.708], [0.252, 0.292, 0.708], [0.500, 0.453, 0.037], [0.000, 0.540, 0.460]], "mass_density_g_cm3": 5.75, "total_magnetization_mub_per_fu": 0.000, "e_form_ev_per_atom": 0.025, "final_energy_ev_per_atom": -5.386, "polymorph_energy_mev_per_atom": 5, "space_group": "Amm2 (38)"}



(6)
{"formula": "Pr3Y13", "functional": "GGA-PBE", "state": "relaxed", "lattice": [[7.353, 0.000, 0.000], [0.000, 8.503, -0.912], [0.000, 0.026, 8.551]], "species": ["Pr", "Pr", "Pr", "Y", "Y", "Y", "Y", "Y", "Y", "Y", "Y", "Y", "Y", "Y", "Y", "Y"], "fractional_positions": [[0.748, 0.040, 0.960], [0.000, 0.293, 0.707], [0.252, 0.040, 0.960], [0.749, 0.956, 0.539], [0.750, 0.543, 0.457], [0.749, 0.461, 0.044], [0.000, 0.707, 0.790], [0.000, 0.210, 0.293], [0.000, 0.790, 0.210], [0.251, 0.956, 0.539], [0.250, 0.543, 0.457], [0.251, 0.461, 0.044], [0.500, 0.293, 0.707], [0.500, 0.706, 0.788], [0.500, 0.212, 0.294], [0.500, 0.790, 0.210]], "mass_density_g_cm3": 4.90, "total_magnetization_mub_per_fu": 0.000, "e_form_ev_per_atom": 0.009, "final_energy_ev_per_atom": -6.139, "polymorph_energy_mev_per_atom": 0, "space_group": "Amm2 (38)"}